KB3Br: optimized geometry, PBE-GGA.

a = 4.940 Å, b = 4.940 Å, c = 4.940 Å
α = 90.00°, β = 90.00°, γ = 90.00°
Fractional coordinates of all 5 atoms:
B (0.000, 0.500, 0.000)
B (0.500, 0.000, 0.000)
B (0.000, 0.000, 0.500)
K (0.500, 0.500, 0.500)
Br (0.000, 0.000, 0.000)

**Total DFT energy (no corrections)**: -10.85 eV for the cell shown
**Energy above the lowest structure with this stoichiometry**: 0.000 eV per atom
**Formation energy without anion corrections**: 230.6 kJ per mole of atoms
**DOS at the Fermi energy**: 0.52 states/eV/atom
**Crystal system**: cubic

***

KB2Br: optimized geometry, PBE-GGA.

a = 4.951 Å, b = 4.951 Å, c = 4.951 Å
α = 60.00°, β = 60.00°, γ = 60.00°
Fractional coordinates of all 4 atoms:
K (0.000, 0.000, 0.000)
B (0.250, 0.250, 0.250)
B (0.750, 0.750, 0.750)
Br (0.500, 0.500, 0.500)

**Total DFT energy (no corrections)**: -8.63 eV for the cell shown
**Formation energy without anion corrections**: 180.9 kJ per mole of atoms
**DOS at the Fermi energy**: 0.91 states/eV/atom
**Crystal system**: cubic

***

KBBr4: optimized geometry, PBE-GGA.

a = 6.817 Å, b = 6.926 Å, c = 9.855 Å
α = 90.00°, β = 90.00°, γ = 112.86°
Fractional coordinates of all 12 atoms:
B (0.308, 0.172, 0.250)
B (0.692, 0.828, 0.750)
Br (0.221, 0.294, 0.416)
Br (0.779, 0.706, 0.584)
Br (0.839, 0.147, 0.750)
Br (0.370, 0.747, 0.750)
Br (0.779, 0.706, 0.916)
Br (0.630, 0.253, 0.250)
Br (0.161, 0.853, 0.250)
Br (0.221, 0.294, 0.084)
K (0.611, 0.751, 0.250)
K (0.389, 0.249, 0.750)

**Total DFT energy (no corrections)**: -40.05 eV for the cell shown
**Energy above the lowest structure with this stoichiometry**: 0.000 eV per atom
**Formation energy without anion corrections**: -89.4 kJ per mole of atoms
**DOS at the Fermi energy**: 0.00 states/eV/atom
**Crystal system**: monoclinic

***

KBBr6: optimized geometry, PBE-GGA.

a = 10.353 Å, b = 7.018 Å, c = 6.200 Å
α = 42.54°, β = 96.16°, γ = 107.64°
Fractional coordinates of all 8 atoms:
Br (0.206, 0.585, 0.262)
Br (0.794, 0.415, 0.738)
Br (0.899, 0.843, 0.878)
Br (0.592, 0.133, 0.268)
Br (0.101, 0.157, 0.122)
Br (0.408, 0.867, 0.732)
B (0.000, 0.000, 0.000)
K (0.500, 0.500, 0.500)

**Total DFT energy (no corrections)**: -21.19 eV for the cell shown
**Formation energy without anion corrections**: -40.8 kJ per mole of atoms
**DOS at the Fermi energy**: 0.00 states/eV/atom
**Crystal system**: triclinic

***

K2BBr5: optimized geometry, PBE-GGA.

a = 8.683 Å, b = 8.683 Å, c = 8.593 Å
α = 135.13°, β = 135.13°, γ = 66.26°
Fractional coordinates of all 8 atoms:
Br (0.897, 0.247, 0.144)
Br (0.247, 0.897, 0.144)
Br (0.235, 0.235, 0.952)
Br (0.717, 0.717, 0.952)
Br (0.760, 0.760, 0.520)
B (0.969, 0.969, 0.938)
K (0.226, 0.726, 0.453)
K (0.726, 0.226, 0.453)

**Total DFT energy (no corrections)**: -25.64 eV for the cell shown
**Formation energy without anion corrections**: -101.3 kJ per mole of atoms
**DOS at the Fermi energy**: 0.00 states/eV/atom
**Crystal system**: orthorhombic

***

KBBr4: optimized geometry, PBE-GGA.

a = 6.692 Å, b = 6.414 Å, c = 9.810 Å
α = 90.00°, β = 90.00°, γ = 90.00°
Fractional coordinates of all 12 atoms:
Br (0.341, 0.179, 0.833)
Br (0.960, 0.385, 0.500)
Br (0.841, 0.821, 0.333)
Br (0.460, 0.615, 0.000)
Br (0.777, 0.224, 0.000)
Br (0.277, 0.776, 0.500)
Br (0.341, 0.179, 0.167)
Br (0.841, 0.821, 0.667)
B (0.480, 0.297, 0.000)
B (0.980, 0.703, 0.500)
K (0.973, 0.721, 0.000)
K (0.473, 0.279, 0.500)

**Total DFT energy (no corrections)**: -39.99 eV for the cell shown
**Energy above the lowest structure with this stoichiometry**: 0.005 eV per atom
**Formation energy without anion corrections**: -88.9 kJ per mole of atoms
**DOS at the Fermi energy**: 0.00 states/eV/atom
**Crystal system**: orthorhombic